No. 1
Computed, not measured: TbNdAs after structural relaxation at the PBE level of DFT.

Unit cell a=5.8744 b=11.7254 c=5.8885 alpha=90.00 beta=90.00 gamma=90.00
Space group Cmcm (No. 63)
Asymmetric unit:
1 Tb 0.0000 0.0000 0.0000 (multiplicity 4)
2 Nd 0.0000 0.2955 0.2500 (multiplicity 4)
3 As 0.0000 0.2134 0.7500 (multiplicity 4)

## Properties
DFT formation energy	-0.4663	eV/atom

No. 2
Computed, not measured: TbNd5As6 after structural relaxation at the PBE level of DFT.

Unit cell a=7.3658 b=12.7536 c=7.3637 alpha=90.00 beta=109.48 gamma=90.00
Space group C2/m (No. 12)
Asymmetric unit:
1 Tb 0.0000 0.0000 0.0000 (multiplicity 2)
2 Nd 0.0000 0.1675 0.5000 (multiplicity 4)
3 Nd 0.0000 0.3336 0.0000 (multiplicity 4)
4 Nd 0.0000 0.5000 0.5000 (multiplicity 2)
5 As 0.2465 0.0000 0.7523 (multiplicity 4)
6 As 0.2468 0.1646 0.2471 (multiplicity 8)

## Properties
DFT formation energy	-1.5142	eV/atom

No. 3
Computed, not measured: TbNd2Th3As6 after structural relaxation at the PBE level of DFT.

Unit cell a=18.4840 b=4.2477 c=8.4654 alpha=90.00 beta=103.09 gamma=90.00
Space group C2/m (No. 12)
Asymmetric unit:
1 Tb 0.0000 0.0000 0.0000 (multiplicity 2)
2 Nd 0.1664 0.5000 0.3330 (multiplicity 4)
3 Th 0.0000 0.0000 0.5000 (multiplicity 2)
4 Th 0.1672 0.5000 0.8336 (multiplicity 4)
5 As 0.0010 0.5000 0.7544 (multiplicity 4)
6 As 0.1649 0.0000 0.0802 (multiplicity 4)
7 As 0.1659 0.0000 0.5849 (multiplicity 4)

## Properties
DFT formation energy	-1.4725	eV/atom

No. 4
Computed, not measured: TbNd4Th3As8 after structural relaxation at the PBE level of DFT.

Unit cell a=8.5019 b=8.5019 c=20.8283 alpha=90.00 beta=90.00 gamma=120.00
Space group R-3m (No. 166, hexagonal axes)
Asymmetric unit:
1 Tb 0.0000 0.0000 0.0000 (multiplicity 3)
2 Nd 0.0000 0.0000 0.5000 (multiplicity 3)
3 Nd 0.0000 0.5000 0.5000 (multiplicity 9)
4 Th 0.0000 0.5000 0.0000 (multiplicity 9)
5 As 0.0000 0.0000 0.2510 (multiplicity 6)
6 As 0.0021 0.5011 0.7482 (multiplicity 18)

## Properties
DFT formation energy	-1.4939	eV/atom

No. 5
Computed, not measured: TbNdTh2As4 after structural relaxation at the PBE level of DFT.

Unit cell a=7.3056 b=4.2396 c=7.3428 alpha=90.00 beta=109.64 gamma=90.00
Space group P2/m (No. 10)
Asymmetric unit:
1 Tb 0.0000 0.0000 0.0000 (multiplicity 1)
2 Nd 0.0000 0.5000 0.5000 (multiplicity 1)
3 Th 0.5000 0.0000 0.5000 (multiplicity 1)
4 Th 0.5000 0.5000 0.0000 (multiplicity 1)
5 As 0.2471 0.5000 0.2455 (multiplicity 2)
6 As 0.2499 0.0000 0.7535 (multiplicity 2)

## Properties
DFT formation energy	-1.4703	eV/atom

No. 6
Computed, not measured: Tb3Nd2ThAs6 after structural relaxation at the PBE level of DFT.

Unit cell a=18.2937 b=4.2082 c=8.4038 alpha=90.00 beta=103.09 gamma=90.00
Space group C2/m (No. 12)
Asymmetric unit:
1 Tb 0.0000 0.0000 0.0000 (multiplicity 2)
2 Tb 0.1677 0.5000 0.3322 (multiplicity 4)
3 Nd 0.1676 0.5000 0.8358 (multiplicity 4)
4 Th 0.0000 0.0000 0.5000 (multiplicity 2)
5 As 0.0019 0.5000 0.2480 (multiplicity 4)
6 As 0.1646 0.0000 0.0882 (multiplicity 4)
7 As 0.1672 0.0000 0.5779 (multiplicity 4)

## Properties
DFT formation energy	-1.5233	eV/atom

No. 7
Computed, not measured: Tb3Nd2TmAs6 after structural relaxation at the PBE level of DFT.

Unit cell a=18.1840 b=4.1744 c=8.3437 alpha=90.00 beta=103.28 gamma=90.00
Space group C2/m (No. 12)
Asymmetric unit:
1 Tb 0.0000 0.0000 0.0000 (multiplicity 2)
2 Tb 0.1673 0.5000 0.3342 (multiplicity 4)
3 Nd 0.1655 0.5000 0.8317 (multiplicity 4)
4 Tm 0.0000 0.0000 0.5000 (multiplicity 2)
5 As 0.0025 0.5000 0.2549 (multiplicity 4)
6 As 0.1649 0.0000 0.0879 (multiplicity 4)
7 As 0.1650 0.0000 0.5766 (multiplicity 4)

## Properties
DFT formation energy	-1.5155	eV/atom

No. 8
Computed, not measured: TbNd2Tm3As6 after structural relaxation at the PBE level of DFT.

Unit cell a=18.0673 b=4.1499 c=8.2893 alpha=90.00 beta=103.18 gamma=90.00
Space group C2/m (No. 12)
Asymmetric unit:
1 Tb 0.0000 0.0000 0.0000 (multiplicity 2)
2 Nd 0.1660 0.5000 0.3322 (multiplicity 4)
3 Tm 0.0000 0.0000 0.5000 (multiplicity 2)
4 Tm 0.1670 0.5000 0.8338 (multiplicity 4)
5 As 0.0032 0.5000 0.7487 (multiplicity 4)
6 As 0.1638 0.0000 0.5906 (multiplicity 4)
7 As 0.1674 0.0000 0.0747 (multiplicity 4)

## Properties
DFT formation energy	-1.5033	eV/atom

No. 9
Computed, not measured: Tb2NdTmAs4 after structural relaxation at the PBE level of DFT.

Unit cell a=7.1944 b=4.1578 c=7.1971 alpha=90.00 beta=109.47 gamma=90.00
Space group P2/m (No. 10)
Asymmetric unit:
1 Tb 0.0000 0.0000 0.0000 (multiplicity 1)
2 Tb 0.5000 0.5000 0.0000 (multiplicity 1)
3 Nd 0.0000 0.5000 0.5000 (multiplicity 1)
4 Tm 0.5000 0.0000 0.5000 (multiplicity 1)
5 As 0.2559 0.5000 0.2505 (multiplicity 2)
6 As 0.2571 0.0000 0.7538 (multiplicity 2)

## Properties
DFT formation energy	-1.5143	eV/atom

No. 10
Computed, not measured: TbNd3Tm2As6 after structural relaxation at the PBE level of DFT.

Unit cell a=7.2470 b=12.5493 c=7.2376 alpha=90.00 beta=109.47 gamma=90.00
Space group C2/m (No. 12)
Asymmetric unit:
1 Tb 0.0000 0.0000 0.0000 (multiplicity 2)
2 Nd 0.0000 0.1660 0.5000 (multiplicity 4)
3 Nd 0.0000 0.5000 0.5000 (multiplicity 2)
4 Tm 0.0000 0.3331 0.0000 (multiplicity 4)
5 As 0.2435 0.5000 0.2383 (multiplicity 4)
6 As 0.2476 0.1679 0.2388 (multiplicity 8)

## Properties
DFT formation energy	-1.5054	eV/atom

No. 11
Computed, not measured: TbNd2UAs4 after structural relaxation at the PBE level of DFT.

Unit cell a=7.2509 b=4.1722 c=7.2583 alpha=90.00 beta=109.14 gamma=90.00
Space group P2/m (No. 10)
Asymmetric unit:
1 Tb 0.0000 0.0000 0.0000 (multiplicity 1)
2 Nd 0.0000 0.5000 0.5000 (multiplicity 1)
3 Nd 0.5000 0.0000 0.5000 (multiplicity 1)
4 U 0.5000 0.5000 0.0000 (multiplicity 1)
5 As 0.2510 0.5000 0.2376 (multiplicity 2)
6 As 0.2568 0.0000 0.7627 (multiplicity 2)

## Properties
DFT formation energy	-1.3205	eV/atom

No. 12
Computed, not measured: Tb2NdUAs4 after structural relaxation at the PBE level of DFT.

Unit cell a=7.1986 b=4.1427 c=7.1992 alpha=90.00 beta=109.17 gamma=90.00
Space group P2/m (No. 10)
Asymmetric unit:
1 Tb 0.0000 0.0000 0.0000 (multiplicity 1)
2 Tb 0.0000 0.5000 0.5000 (multiplicity 1)
3 Nd 0.5000 0.0000 0.5000 (multiplicity 1)
4 U 0.5000 0.5000 0.0000 (multiplicity 1)
5 As 0.2482 0.5000 0.2404 (multiplicity 2)
6 As 0.2504 0.0000 0.7562 (multiplicity 2)

## Properties
DFT formation energy	-1.3214	eV/atom

No. 13
Computed, not measured: TbNd2Y3As6 after structural relaxation at the PBE level of DFT.

Unit cell a=18.2012 b=4.1791 c=8.3506 alpha=90.00 beta=103.23 gamma=90.00
Space group C2/m (No. 12)
Asymmetric unit:
1 Tb 0.0000 0.0000 0.0000 (multiplicity 2)
2 Nd 0.1659 0.5000 0.3324 (multiplicity 4)
3 Y 0.0000 0.0000 0.5000 (multiplicity 2)
4 Y 0.1671 0.5000 0.8339 (multiplicity 4)
5 As 0.0024 0.5000 0.7511 (multiplicity 4)
6 As 0.1648 0.0000 0.5883 (multiplicity 4)
7 As 0.1664 0.0000 0.0772 (multiplicity 4)

## Properties
DFT formation energy	-1.5337	eV/atom

No. 14
Computed, not measured: TbNd2YAs4 after structural relaxation at the PBE level of DFT.

Unit cell a=7.2746 b=4.2057 c=7.2801 alpha=90.00 beta=109.48 gamma=90.00
Space group P2/m (No. 10)
Asymmetric unit:
1 Tb 0.0000 0.0000 0.0000 (multiplicity 1)
2 Nd 0.5000 0.0000 0.5000 (multiplicity 1)
3 Nd 0.5000 0.5000 0.0000 (multiplicity 1)
4 Y 0.0000 0.5000 0.5000 (multiplicity 1)
5 As 0.2415 0.0000 0.7469 (multiplicity 2)
6 As 0.2418 0.5000 0.2475 (multiplicity 2)

## Properties
DFT formation energy	-1.5268	eV/atom

No. 15
Computed, not measured: Tb2NdZrAs4 after structural relaxation at the PBE level of DFT.

Unit cell a=7.0854 b=4.0952 c=7.0996 alpha=90.00 beta=109.27 gamma=90.00
Space group P2/m (No. 10)
Asymmetric unit:
1 Tb 0.0000 0.0000 0.0000 (multiplicity 1)
2 Tb 0.0000 0.5000 0.5000 (multiplicity 1)
3 Nd 0.5000 0.0000 0.5000 (multiplicity 1)
4 Zr 0.5000 0.5000 0.0000 (multiplicity 1)
5 As 0.2504 0.5000 0.2382 (multiplicity 2)
6 As 0.2584 0.0000 0.7639 (multiplicity 2)

## Properties
DFT formation energy	-1.4083	eV/atom

No. 16
Computed, not measured: NdTc4As2 after structural relaxation at the PBE level of DFT.

Unit cell a=4.1429 b=14.5146 c=4.0814 alpha=90.00 beta=90.00 gamma=90.00
Space group Cmmm (No. 65)
Asymmetric unit:
1 Nd 0.0000 0.0000 0.0000 (multiplicity 2)
2 Tc 0.0000 0.1900 0.5000 (multiplicity 4)
3 Tc 0.0000 0.3025 0.0000 (multiplicity 4)
4 As 0.0000 0.4089 0.5000 (multiplicity 4)

## Properties
DFT formation energy	-0.5145	eV/atom

No. 17
Computed, not measured: NdTcAs after structural relaxation at the PBE level of DFT.

Unit cell a=7.8730 b=4.0096 c=9.2206 alpha=90.00 beta=100.02 gamma=90.00
Space group C2/m (No. 12)
Asymmetric unit:
1 Nd 0.1732 0.0000 0.1812 (multiplicity 4)
2 Tc 0.1564 0.0000 0.5401 (multiplicity 4)
3 As 0.0156 0.5000 0.3445 (multiplicity 4)

## Properties
DFT formation energy	-0.3237	eV/atom

No. 18
Computed, not measured: Nd7Te4As4 after structural relaxation at the PBE level of DFT.

Unit cell a=15.3265 b=15.3265 c=7.7439 alpha=90.00 beta=90.00 gamma=90.00
Space group I4/mmm (No. 139)
Asymmetric unit:
1 Nd 0.0000 0.0000 0.2433 (multiplicity 4)
2 Nd 0.0000 0.2852 0.0000 (multiplicity 8)
3 Nd 0.0000 0.3649 0.5000 (multiplicity 8)
4 Nd 0.2128 0.2128 0.5000 (multiplicity 8)
5 Te 0.0000 0.1677 0.5000 (multiplicity 8)
6 Te 0.1261 0.1261 0.0000 (multiplicity 8)
7 As 0.1455 0.3545 0.2500 (multiplicity 16)

No. 19
Computed, not measured: NdTe2As after structural relaxation at the PBE level of DFT.

Unit cell a=4.0700 b=4.0700 c=28.6303 alpha=90.00 beta=90.00 gamma=120.00
Space group R-3m (No. 166, hexagonal axes)
Asymmetric unit:
1 Nd 0.0000 0.0000 0.0000 (multiplicity 3)
2 Te 0.0000 0.0000 0.1082 (multiplicity 6)
3 As 0.0000 0.0000 0.5000 (multiplicity 3)

No. 20
Computed, not measured: Nd7TeAs5 after structural relaxation at the PBE level of DFT.

Unit cell a=14.1310 b=4.2730 c=25.2361 alpha=90.00 beta=90.03 gamma=90.00
Space group C2/m (No. 12)
Asymmetric unit:
1 Nd 0.0323 0.0000 0.2500 (multiplicity 4)
2 Nd 0.0894 0.5000 0.3964 (multiplicity 4)
3 Nd 0.0895 0.5000 0.1036 (multiplicity 4)
4 Nd 0.1370 0.0000 0.5348 (multiplicity 4)
5 Nd 0.1369 0.0000 0.9652 (multiplicity 4)
6 Nd 0.1753 0.5000 0.6732 (multiplicity 4)
7 Nd 0.1751 0.5000 0.8269 (multiplicity 4)
8 Te 0.2018 0.5000 0.2498 (multiplicity 4)
9 As 0.0000 0.5000 0.0000 (multiplicity 2)
10 As 0.0000 0.5000 0.5000 (multiplicity 2)
11 As 0.0440 0.0000 0.6432 (multiplicity 4)
12 As 0.0437 0.0000 0.8568 (multiplicity 4)
13 As 0.2278 0.0000 0.0731 (multiplicity 4)
14 As 0.2276 0.0000 0.4269 (multiplicity 4)

No. 21
Computed, not measured: Nd4Te3As after structural relaxation at the PBE level of DFT.

Unit cell a=9.0000 b=12.6000 c=4.4009 alpha=90.00 beta=90.00 gamma=90.00
Space group Cmmm (No. 65)
Asymmetric unit:
1 Nd 0.0000 0.2343 0.0000 (multiplicity 4)
2 Nd 0.2249 0.0000 0.5000 (multiplicity 4)
3 Te 0.0000 0.5000 0.0000 (multiplicity 2)
4 Te 0.2500 0.2500 0.5000 (multiplicity 4)
5 As 0.0000 0.0000 0.0000 (multiplicity 2)

no.,magnetic moment (μB per formula unit),raw total energy (Ry per atom)
1,0.614,-0.378
2,0.000,-0.457
3,0.000,-0.502
4,0.000,-0.492
5,0.000,-0.502
6,0.000,-0.472
7,0.000,-0.453
8,0.000,-0.450
9,0.000,-0.452
10,0.000,-0.452
11,2.296,-0.502
12,2.360,-0.501
13,0.000,-0.489
14,0.000,-0.473
15,0.000,-0.482
16,0.000,-0.621
17,0.000,-0.508
18,0.660,-0.413
19,0.000,-0.295
20,0.315,-0.440
21,0.000,-0.414